Entry 1:
# CaZr2Hg GGA-PBE relaxed
data_CaZr2Hg
_chemical_formula_sum 'Ca1 Zr2 Hg1'
_symmetry_space_group_name_H-M 'P 1'
_symmetry_Int_Tables_number 1
_cell_length_a 3.340
_cell_length_b 5.149
_cell_length_c 5.690
_cell_angle_alpha 90.00
_cell_angle_beta 90.00
_cell_angle_gamma 90.00
loop_
_symmetry_equiv_pos_as_xyz
'x,y,z'
loop_
_atom_site_label
_atom_site_type_symbol
_atom_site_fract_x
_atom_site_fract_y
_atom_site_fract_z
Ca1 Ca 0.000 0.000 0.000
Zr1 Zr 0.000 0.500 0.500
Zr2 Zr 0.500 0.000 0.500
Hg1 Hg 0.500 0.500 0.000
# VASP energy, eV per atom: -4.766
# Crystal system: orthorhombic



Entry 2:
# CaZr2Hg GGA-PBE relaxed
data_CaZr2Hg
_chemical_formula_sum 'Ca1 Zr2 Hg1'
_symmetry_space_group_name_H-M 'P 1'
_symmetry_Int_Tables_number 1
_cell_length_a 3.221
_cell_length_b 3.221
_cell_length_c 9.764
_cell_angle_alpha 90.00
_cell_angle_beta 90.00
_cell_angle_gamma 90.00
loop_
_symmetry_equiv_pos_as_xyz
'x,y,z'
loop_
_atom_site_label
_atom_site_type_symbol
_atom_site_fract_x
_atom_site_fract_y
_atom_site_fract_z
Ca1 Ca 0.000 0.000 0.000
Zr1 Zr 0.500 0.500 0.286
Zr2 Zr 0.500 0.500 0.714
Hg1 Hg 0.000 0.000 0.500
# VASP energy, eV per atom: -4.674
# Crystal system: tetragonal



Entry 3:
# CaZr2Hg GGA-PBE relaxed
data_CaZr2Hg
_chemical_formula_sum 'Ca1 Zr2 Hg1'
_symmetry_space_group_name_H-M 'P 1'
_symmetry_Int_Tables_number 1
_cell_length_a 10.464
_cell_length_b 10.464
_cell_length_c 10.464
_cell_angle_alpha 18.76
_cell_angle_beta 18.76
_cell_angle_gamma 18.76
loop_
_symmetry_equiv_pos_as_xyz
'x,y,z'
loop_
_atom_site_label
_atom_site_type_symbol
_atom_site_fract_x
_atom_site_fract_y
_atom_site_fract_z
Ca1 Ca 0.000 0.000 0.000
Zr1 Zr 0.236 0.236 0.236
Zr2 Zr 0.493 0.493 0.493
Hg1 Hg 0.749 0.749 0.749
# VASP energy, eV per atom: -4.835
# Crystal system: trigonal



Entry 4:
# CaZrHg6 GGA-PBE relaxed
data_CaZrHg6
_chemical_formula_sum 'Ca1 Zr1 Hg6'
_symmetry_space_group_name_H-M 'P 1'
_symmetry_Int_Tables_number 1
_cell_length_a 8.905
_cell_length_b 8.905
_cell_length_c 8.905
_cell_angle_alpha 38.63
_cell_angle_beta 38.63
_cell_angle_gamma 38.63
loop_
_symmetry_equiv_pos_as_xyz
'x,y,z'
loop_
_atom_site_label
_atom_site_type_symbol
_atom_site_fract_x
_atom_site_fract_y
_atom_site_fract_z
Ca1 Ca 0.000 0.000 0.000
Zr1 Zr 0.500 0.500 0.500
Hg1 Hg 0.062 0.062 0.557
Hg2 Hg 0.062 0.557 0.062
Hg3 Hg 0.443 0.938 0.938
Hg4 Hg 0.557 0.062 0.062
Hg5 Hg 0.938 0.443 0.938
Hg6 Hg 0.938 0.938 0.443
# VASP energy, eV per atom: -1.424
# Crystal system: trigonal



Entry 5:
# Ca2ZrHg GGA-PBE relaxed
data_Ca2ZrHg
_chemical_formula_sum 'Ca2 Zr1 Hg1'
_symmetry_space_group_name_H-M 'P 1'
_symmetry_Int_Tables_number 1
_cell_length_a 4.657
_cell_length_b 4.657
_cell_length_c 4.978
_cell_angle_alpha 90.00
_cell_angle_beta 90.00
_cell_angle_gamma 90.00
loop_
_symmetry_equiv_pos_as_xyz
'x,y,z'
loop_
_atom_site_label
_atom_site_type_symbol
_atom_site_fract_x
_atom_site_fract_y
_atom_site_fract_z
Ca1 Ca 0.000 0.500 0.000
Ca2 Ca 0.500 0.000 0.000
Zr1 Zr 0.000 0.000 0.500
Hg1 Hg 0.500 0.500 0.500
# VASP energy, eV per atom: -3.105
# Crystal system: tetragonal



Entry 6:
# CaZrHg3 GGA-PBE relaxed
data_CaZrHg3
_chemical_formula_sum 'Ca1 Zr1 Hg3'
_symmetry_space_group_name_H-M 'P 1'
_symmetry_Int_Tables_number 1
_cell_length_a 5.513
_cell_length_b 5.513
_cell_length_c 5.513
_cell_angle_alpha 90.00
_cell_angle_beta 90.00
_cell_angle_gamma 90.00
loop_
_symmetry_equiv_pos_as_xyz
'x,y,z'
loop_
_atom_site_label
_atom_site_type_symbol
_atom_site_fract_x
_atom_site_fract_y
_atom_site_fract_z
Ca1 Ca 0.000 0.000 0.000
Zr1 Zr 0.500 0.500 0.500
Hg1 Hg 0.000 0.500 0.500
Hg2 Hg 0.500 0.000 0.500
Hg3 Hg 0.500 0.500 0.000
# Crystal system: cubic
# Distance to the lowest polymorph of the same formula, meV/atom: 0



Entry 7:
# CaZr2Hg GGA-PBE relaxed
data_CaZr2Hg
_chemical_formula_sum 'Ca1 Zr2 Hg1'
_symmetry_space_group_name_H-M 'P 1'
_symmetry_Int_Tables_number 1
_cell_length_a 4.470
_cell_length_b 4.470
_cell_length_c 4.805
_cell_angle_alpha 90.00
_cell_angle_beta 90.00
_cell_angle_gamma 90.00
loop_
_symmetry_equiv_pos_as_xyz
'x,y,z'
loop_
_atom_site_label
_atom_site_type_symbol
_atom_site_fract_x
_atom_site_fract_y
_atom_site_fract_z
Ca1 Ca 0.000 0.000 0.000
Zr1 Zr 0.000 0.500 0.500
Zr2 Zr 0.500 0.000 0.500
Hg1 Hg 0.500 0.500 0.000
# VASP energy, eV per atom: -4.750
# Crystal system: tetragonal



Entry 8:
# CaZrHg2 GGA-PBE relaxed
data_CaZrHg2
_chemical_formula_sum 'Ca1 Zr1 Hg2'
_symmetry_space_group_name_H-M 'P 1'
_symmetry_Int_Tables_number 1
_cell_length_a 6.014
_cell_length_b 6.014
_cell_length_c 6.014
_cell_angle_alpha 137.79
_cell_angle_beta 137.79
_cell_angle_gamma 61.23
loop_
_symmetry_equiv_pos_as_xyz
'x,y,z'
loop_
_atom_site_label
_atom_site_type_symbol
_atom_site_fract_x
_atom_site_fract_y
_atom_site_fract_z
Ca1 Ca 0.000 0.000 0.000
Zr1 Zr 0.750 0.250 0.500
Hg1 Hg 0.250 0.750 0.500
Hg2 Hg 0.500 0.500 0.000
# VASP energy, eV per atom: -2.845
# Crystal system: tetragonal



Entry 9:
# CaZrHg2 GGA-PBE relaxed
data_CaZrHg2
_chemical_formula_sum 'Ca1 Zr1 Hg2'
_symmetry_space_group_name_H-M 'P 1'
_symmetry_Int_Tables_number 1
_cell_length_a 5.945
_cell_length_b 5.945
_cell_length_c 5.406
_cell_angle_alpha 105.10
_cell_angle_beta 105.10
_cell_angle_gamma 31.88
loop_
_symmetry_equiv_pos_as_xyz
'x,y,z'
loop_
_atom_site_label
_atom_site_type_symbol
_atom_site_fract_x
_atom_site_fract_y
_atom_site_fract_z
Ca1 Ca 0.000 0.000 0.000
Zr1 Zr 0.778 0.778 0.393
Hg1 Hg 0.250 0.250 0.880
Hg2 Hg 0.524 0.524 0.500
# VASP energy, eV per atom: -2.934
# Crystal system: monoclinic



Entry 10:
# Ca2ZrHg GGA-PBE relaxed
data_Ca2ZrHg
_chemical_formula_sum 'Ca2 Zr1 Hg1'
_symmetry_space_group_name_H-M 'P 1'
_symmetry_Int_Tables_number 1
_cell_length_a 5.585
_cell_length_b 5.585
_cell_length_c 3.657
_cell_angle_alpha 90.00
_cell_angle_beta 90.00
_cell_angle_gamma 90.00
loop_
_symmetry_equiv_pos_as_xyz
'x,y,z'
loop_
_atom_site_label
_atom_site_type_symbol
_atom_site_fract_x
_atom_site_fract_y
_atom_site_fract_z
Ca1 Ca 0.000 0.500 0.000
Ca2 Ca 0.500 0.000 0.000
Zr1 Zr 0.000 0.000 0.500
Hg1 Hg 0.500 0.500 0.500
# VASP energy, eV per atom: -3.059
# Crystal system: tetragonal



Entry 11:
# CaZrHg2 GGA-PBE relaxed
data_CaZrHg2
_chemical_formula_sum 'Ca1 Zr1 Hg2'
_symmetry_space_group_name_H-M 'P 1'
_symmetry_Int_Tables_number 1
_cell_length_a 3.473
_cell_length_b 4.704
_cell_length_c 6.222
_cell_angle_alpha 90.00
_cell_angle_beta 90.00
_cell_angle_gamma 90.00
loop_
_symmetry_equiv_pos_as_xyz
'x,y,z'
loop_
_atom_site_label
_atom_site_type_symbol
_atom_site_fract_x
_atom_site_fract_y
_atom_site_fract_z
Ca1 Ca 0.000 0.000 0.000
Zr1 Zr 0.500 0.500 0.652
Hg1 Hg 0.000 0.000 0.506
Hg2 Hg 0.500 0.500 0.176
# VASP energy, eV per atom: -2.882
# Crystal system: orthorhombic



Entry 12:
# Ca2ZrHg GGA-PBE relaxed
data_Ca2ZrHg
_chemical_formula_sum 'Ca2 Zr1 Hg1'
_symmetry_space_group_name_H-M 'P 1'
_symmetry_Int_Tables_number 1
_cell_length_a 6.453
_cell_length_b 6.453
_cell_length_c 6.453
_cell_angle_alpha 146.09
_cell_angle_beta 131.05
_cell_angle_gamma 60.88
loop_
_symmetry_equiv_pos_as_xyz
'x,y,z'
loop_
_atom_site_label
_atom_site_type_symbol
_atom_site_fract_x
_atom_site_fract_y
_atom_site_fract_z
Ca1 Ca 0.220 0.220 0.000
Ca2 Ca 0.780 0.780 0.000
Zr1 Zr 0.500 0.000 0.500
Hg1 Hg 0.000 0.500 0.500
# VASP energy, eV per atom: -3.106
# Crystal system: orthorhombic



Entry 13:
# CaZr2Hg GGA-PBE relaxed
data_CaZr2Hg
_chemical_formula_sum 'Ca1 Zr2 Hg1'
_symmetry_space_group_name_H-M 'P 1'
_symmetry_Int_Tables_number 1
_cell_length_a 5.977
_cell_length_b 5.977
_cell_length_c 5.977
_cell_angle_alpha 137.34
_cell_angle_beta 137.34
_cell_angle_gamma 61.91
loop_
_symmetry_equiv_pos_as_xyz
'x,y,z'
loop_
_atom_site_label
_atom_site_type_symbol
_atom_site_fract_x
_atom_site_fract_y
_atom_site_fract_z
Ca1 Ca 0.000 0.000 0.000
Zr1 Zr 0.250 0.750 0.500
Zr2 Zr 0.750 0.250 0.500
Hg1 Hg 0.500 0.500 0.000
# VASP energy, eV per atom: -4.729
# Crystal system: tetragonal



Entry 14:
# CaZr4Hg GGA-PBE relaxed
data_CaZr4Hg
_chemical_formula_sum 'Ca1 Zr4 Hg1'
_symmetry_space_group_name_H-M 'P 1'
_symmetry_Int_Tables_number 1
_cell_length_a 5.952
_cell_length_b 5.952
_cell_length_c 5.952
_cell_angle_alpha 60.00
_cell_angle_beta 60.00
_cell_angle_gamma 60.00
loop_
_symmetry_equiv_pos_as_xyz
'x,y,z'
loop_
_atom_site_label
_atom_site_type_symbol
_atom_site_fract_x
_atom_site_fract_y
_atom_site_fract_z
Ca1 Ca 0.000 0.000 0.000
Zr1 Zr 0.374 0.374 0.374
Zr2 Zr 0.374 0.374 0.878
Zr3 Zr 0.374 0.878 0.374
Zr4 Zr 0.878 0.374 0.374
Hg1 Hg 0.750 0.750 0.750
# VASP energy, eV per atom: -5.805
# Crystal system: cubic



Entry 15:
# CaZrHg2 GGA-PBE relaxed
data_CaZrHg2
_chemical_formula_sum 'Ca1 Zr1 Hg2'
_symmetry_space_group_name_H-M 'P 1'
_symmetry_Int_Tables_number 1
_cell_length_a 5.135
_cell_length_b 5.135
_cell_length_c 5.135
_cell_angle_alpha 60.00
_cell_angle_beta 60.00
_cell_angle_gamma 60.00
loop_
_symmetry_equiv_pos_as_xyz
'x,y,z'
loop_
_atom_site_label
_atom_site_type_symbol
_atom_site_fract_x
_atom_site_fract_y
_atom_site_fract_z
Ca1 Ca 0.000 0.000 0.000
Zr1 Zr 0.750 0.750 0.750
Hg1 Hg 0.250 0.250 0.250
Hg2 Hg 0.500 0.500 0.500
# VASP energy, eV per atom: -2.603
# Crystal system: cubic